[1]
In12Sb3S5: optimized geometry, GGA-PBE.

Cell: 14.9336 14.9336 14.9336 Å, 109.47 109.47 109.47°
With the nearest neighbours (Å) after each atom.
Atoms (fractional coordinates):
Sb 0.7500 0.3750 0.1250  8 In 3.21-3.22
Sb 0.8750 0.7500 0.1250  8 In 3.21-3.22
Sb 0.3750 0.7500 0.6250  8 In 3.21-3.22
Sb 0.2500 0.1250 0.3750  8 In 3.21-3.22
Sb 0.8750 0.1250 0.2500  8 In 3.21-3.22
Sb 0.3750 0.6250 0.2500  8 In 3.21-3.22
Sb 0.6250 0.3750 0.7500  8 In 3.21-3.22
Sb 0.1250 0.8750 0.7500  8 In 3.21-3.22
Sb 0.7500 0.8750 0.6250  8 In 3.21-3.22
Sb 0.6250 0.2500 0.3750  8 In 3.21-3.22
Sb 0.1250 0.2500 0.8750  8 In 3.21-3.22
Sb 0.2500 0.6250 0.8750  8 In 3.21-3.22
S 0.1250 0.3750 0.2500  4 In 2.72
S 0.0000 0.5000 0.0000  6 In 2.90
S 0.0000 0.0000 0.0000  6 In 2.90
S 0.3750 0.2500 0.1250  4 In 2.72
S 0.5000 0.0000 0.5000  6 In 2.90
S 0.5000 0.5000 0.0000  6 In 2.90
S 0.1250 0.7500 0.3750  4 In 2.72
S 0.7500 0.1250 0.8750  4 In 2.72
S 0.7500 0.6250 0.3750  4 In 2.72
S 0.3750 0.1250 0.7500  4 In 2.72
S 0.6250 0.8750 0.2500  4 In 2.72
S 0.5000 0.5000 0.5000  6 In 2.90
S 0.5000 0.0000 0.0000  6 In 2.90
S 0.0000 0.0000 0.5000  6 In 2.90
S 0.2500 0.3750 0.6250  4 In 2.72
S 0.2500 0.8750 0.1250  4 In 2.72
S 0.0000 0.5000 0.5000  6 In 2.90
S 0.8750 0.2500 0.6250  4 In 2.72
S 0.6250 0.7500 0.8750  4 In 2.72
S 0.8750 0.6250 0.7500  4 In 2.72
In 0.7200 0.1341 0.0470  2 S 2.72-2.90
In 0.3270 0.5470 0.4128  2 S 2.72-2.90
In 0.9530 0.3659 0.2800  2 S 2.72-2.90
In 0.5470 0.2200 0.1341  2 S 2.72-2.90
In 0.5859 0.7200 0.6730  2 S 2.72-2.90
In 0.9530 0.5872 0.1730  2 S 2.72-2.90
In 0.3270 0.7800 0.4141  2 S 2.72-2.90
In 0.0872 0.9141 0.1341  2 S 2.72-2.90
In 0.5872 0.9530 0.6730  2 S 2.72-2.90
In 0.7200 0.5859 0.1730  2 S 2.72-2.90
In 0.7800 0.4530 0.3659  2 S 2.72-2.90
In 0.8270 0.9128 0.0470  2 S 2.72-2.90
In 0.1341 0.7200 0.5470  2 S 2.72-2.90
In 0.3659 0.4128 0.0859  2 S 2.72-2.90
In 0.0859 0.9128 0.3659  2 S 2.72-2.90
In 0.4141 0.1341 0.5872  2 S 2.72-2.90
In 0.0859 0.1730 0.2200  2 S 2.72-2.90
In 0.4530 0.6730 0.0872  2 S 2.72-2.90
In 0.8270 0.9141 0.2800  2 S 2.72-2.90
In 0.1341 0.4141 0.0872  2 S 2.72-2.90
In 0.3659 0.9530 0.7800  2 S 2.72-2.90
In 0.5872 0.6341 0.4141  2 S 2.72-2.90
In 0.9128 0.8270 0.5470  2 S 2.72-2.90
In 0.7800 0.3270 0.9141  2 S 2.72-2.90
In 0.4128 0.3659 0.5859  2 S 2.72-2.90
In 0.0872 0.1730 0.4530  2 S 2.72-2.90
In 0.2200 0.6730 0.0859  2 S 2.72-2.90
In 0.1730 0.0859 0.7200  2 S 2.72-2.90
In 0.6341 0.0470 0.2200  2 S 2.72-2.90
In 0.8659 0.5859 0.9128  2 S 2.72-2.90
In 0.5470 0.3270 0.9128  2 S 2.72-2.90
In 0.5859 0.8659 0.4128  2 S 2.72-2.90
In 0.9141 0.8270 0.7800  2 S 2.72-2.90
In 0.9141 0.0872 0.6341  2 S 2.72-2.90
In 0.8659 0.2800 0.4530  2 S 2.72-2.90
In 0.1730 0.0872 0.9530  2 S 2.72-2.90
In 0.6341 0.5872 0.9141  2 S 2.72-2.90
In 0.4128 0.0470 0.3270  2 S 2.72-2.90
In 0.2800 0.4141 0.8270  2 S 2.72-2.90
In 0.2200 0.5470 0.6341  2 S 2.72-2.90
In 0.9128 0.0859 0.8659  2 S 2.72-2.90
In 0.6730 0.2200 0.5859  2 S 2.72-2.90
In 0.4530 0.7800 0.8659  2 S 2.72-2.90
In 0.0470 0.4128 0.8270  2 S 2.72-2.90
In 0.4141 0.2800 0.3270  2 S 2.72-2.90
In 0.0470 0.6341 0.7200  2 S 2.72-2.90
In 0.6730 0.4530 0.5872  2 S 2.72-2.90
In 0.2800 0.8659 0.9530  2 S 2.72-2.90

## Properties
N(E_F) = 9.09 states/eV/f.u.

---

[2]
BaNaNbSe4: optimized geometry, GGA-PBE.

Cell: 7.1981 7.2406 8.9488 Å, 90.00 108.10 90.00°
With the nearest neighbours (Å) after each atom.
Atoms (fractional coordinates):
Ba 0.7396 0.7500 0.9348  6 Se 3.29-3.43
Ba 0.2604 0.2500 0.0652  6 Se 3.29-3.43
Na 0.7685 0.7500 0.4499  6 Se 3.15-3.36
Na 0.2315 0.2500 0.5501  6 Se 3.15-3.36
Nb 0.2256 0.7500 0.3117  4 Se 2.38-2.44
Nb 0.7744 0.2500 0.6883  4 Se 2.38-2.44
Se 0.9989 0.5090 0.7482  1 Nb 2.42
Se 0.0011 0.0090 0.2518  1 Nb 2.42
Se 0.0011 0.4910 0.2518  1 Nb 2.42
Se 0.9989 0.9910 0.7482  1 Nb 2.42
Se 0.4208 0.7500 0.1329  1 Nb 2.44
Se 0.5792 0.2500 0.8671  1 Nb 2.44
Se 0.4118 0.7500 0.5836  1 Nb 2.38
Se 0.5882 0.2500 0.4164  1 Nb 2.38

---

What are the energy relative to the elements, uncorrected values for these records? In order: -8.5; -116.3 kJ/mol of atoms.
What are the electronic total energy values for these records? In order: -3.381; -5.099 eV per atom.